Computed, not measured: an optimized crystal structure of RbNa2IO at the PBE level of DFT.

a = 4.8859 Å, b = 4.8859 Å, c = 5.6795 Å
α = 90.00°, β = 90.00°, γ = 90.00°
Fractional coordinates of all 5 atoms:
I1 0.5000 0.5000 0.5000
Na1 0.0000 0.5000 0.0000
Na2 0.5000 0.0000 0.0000
O1 0.0000 0.0000 0.0000
Rb1 0.0000 0.0000 0.5000

Computed properties:
* theoretical density: 3.36 g/cm³
* E above lowest polymorph: 0.000 eV/atom
* ΔE_f (raw): -1.17 eV/atom
* final energy: -3.19 eV per atom